[1]
Density functional theory data (PBE) for a geometry-optimized LiHfIr2 structure.

Results
* space group: No. 123
* crystal system: tetragonal
* offset from the most stable computed form: 65 meV/atom
* magnetic moment: 0.000 μB/atom

Unit cell a=4.1118 b=4.1118 c=3.5867 alpha=90.00 beta=90.00 gamma=90.00
Positions (direct):
1 Li 0.0000 0.0000 0.0000
2 Hf 0.5000 0.5000 0.0000
3 Ir 0.0000 0.5000 0.5000
4 Ir 0.5000 0.0000 0.5000



[2]
Density functional theory data (PBE) for a geometry-optimized Hf2IrPb structure.

Results
* total DFT energy (no corrections): -31.999 eV per cell
* space group: No. 216
* crystal system: cubic
* magnetic moment: 0.587 μB/atom

Unit cell a=4.8488 b=4.8488 c=4.8488 alpha=60.00 beta=60.00 gamma=60.00
Positions (direct):
1 Hf 0.0000 0.0000 0.0000
2 Hf 0.2500 0.2500 0.2500
3 Ir 0.7500 0.7500 0.7500
4 Pb 0.5000 0.5000 0.5000



[3]
Density functional theory data (PBE) for a geometry-optimized TmNpU structure.

Results
* space group: No. 216
* crystal system: cubic
* DFT formation energy: 108.4 kJ per mole of atoms
* offset from the most stable computed form: 0 meV/atom
* magnetic moment: 2.631 μB/atom

Unit cell a=4.8924 b=4.8924 c=4.8924 alpha=60.00 beta=60.00 gamma=60.00
Positions (direct):
1 Tm 0.0000 0.0000 0.0000
2 Np 0.5000 0.5000 0.5000
3 U 0.7500 0.7500 0.7500



[4]
Density functional theory data (PBE) for a geometry-optimized Tm3ZnIn2NiAu2 structure.

Results
* total DFT energy (no corrections): -38.238 eV per cell
* space group: No. 38
* crystal system: orthorhombic
* magnetic moment: 0.000 μB/atom

Unit cell a=3.7243 b=7.6062 c=7.6062 alpha=119.43 beta=90.00 gamma=90.00
Positions (direct):
1 Tm 0.0000 0.0000 0.0000
2 Tm 0.0000 0.1817 0.5701
3 Tm 0.0000 0.5701 0.1817
4 Zn 0.5000 0.3285 0.3285
5 In 0.5000 0.5834 0.8245
6 In 0.5000 0.8245 0.5834
7 Ni 0.0000 0.5556 0.5556
8 Au 0.5000 0.2476 0.9137
9 Au 0.5000 0.9137 0.2476



[5]
Density functional theory data (PBE) for a geometry-optimized PrGd2Mg3Ir2Pt structure.

Results
* total DFT energy (no corrections): -49.182 eV per cell
* space group: No. 38
* crystal system: orthorhombic
* magnetic moment: 0.003 μB/atom

Unit cell a=4.0793 b=7.4237 c=7.4237 alpha=120.11 beta=90.00 gamma=90.00
Positions (direct):
1 Pr 0.0000 0.0000 0.0000
2 Gd 0.0000 0.4157 0.8284
3 Gd 0.0000 0.8284 0.4157
4 Mg 0.5000 0.1706 0.4187
5 Mg 0.5000 0.4187 0.1706
6 Mg 0.5000 0.6595 0.6595
7 Ir 0.5000 0.0847 0.7440
8 Ir 0.5000 0.7440 0.0847
9 Pt 0.0000 0.4211 0.4211



[6]
Density functional theory data (PBE) for a geometry-optimized Zr2TaB structure.

Results
* total DFT energy (no corrections): -33.317 eV per cell
* space group: No. 216
* crystal system: cubic
* magnetic moment: 0.000 μB/atom

Unit cell a=4.5814 b=4.5814 c=4.5814 alpha=60.00 beta=60.00 gamma=60.00
Positions (direct):
1 Zr 0.0000 0.0000 0.0000
2 Zr 0.2500 0.2500 0.2500
3 Ta 0.7500 0.7500 0.7500
4 B 0.5000 0.5000 0.5000



[7]
Density functional theory data (PBE) for a geometry-optimized Pm4CdTc structure.

Results
* space group: No. 15
* crystal system: monoclinic
* DFT formation energy: -13.0 kJ per mole of atoms
* magnetic moment: 0.001 μB/atom

Unit cell a=7.9157 b=7.9157 c=6.3733 alpha=99.76 beta=99.76 gamma=111.68
Positions (direct):
1 Pm 0.0623 0.7252 0.9534
2 Pm 0.2026 0.3646 0.6081
3 Pm 0.2748 0.9377 0.5466
4 Pm 0.3646 0.2026 0.1081
5 Pm 0.6354 0.7974 0.8919
6 Pm 0.7252 0.0623 0.4534
7 Pm 0.7974 0.6354 0.3919
8 Pm 0.9377 0.2748 0.0466
9 Cd 0.3763 0.6237 0.2500
10 Cd 0.6237 0.3763 0.7500
11 Tc 0.0001 0.9999 0.2500
12 Tc 0.9999 0.0001 0.7500



[8]
Density functional theory data (PBE) for a geometry-optimized CsCu structure.

Results
* total DFT energy (no corrections): -3.615 eV per cell
* space group: No. 225
* crystal system: cubic

Unit cell a=5.1355 b=5.1355 c=5.1355 alpha=60.00 beta=60.00 gamma=60.00
Positions (direct):
1 Cs 0.0000 0.0000 0.0000
2 Cu 0.5000 0.5000 0.5000